# 1
Crystalline Cs2GaPdF6 at its relaxed geometry. Source: Alexandria via LeMat-Bulk, functional PBE.

abc: 6.3791 6.3791 11.2356
angles: 73.51 73.51 60.00
Last column: nearest neighbours and their distance in Å.
Atoms (fractional coordinates):
F: 0.2525 0.8212 0.1051  1 Ga 1.94
F: 0.7475 0.1788 0.8949  1 Ga 1.94
Cs: 0.1265 0.1265 0.6205  12 F 3.20-3.32
F: 0.1788 0.7475 0.8949  1 Ga 1.94
F: 0.8210 0.3929 0.3933  1 Ga 1.94
F: 0.6071 0.6071 0.6067  1 Ga 1.94
F: 0.3929 0.8210 0.3933  1 Ga 1.94
F: 0.1788 0.1788 0.8949  1 Ga 1.94
F: 0.8212 0.8212 0.1051  1 Ga 1.94
Pd: 0.4044 0.4044 0.7869  6 F 2.39-2.48
F: 0.8212 0.2525 0.1051  1 Ga 1.94
Cs: 0.8735 0.8735 0.3795  12 F 3.20-3.32
Ga: 0.0000 0.0000 0.0000  6 F 1.94
F: 0.3929 0.3929 0.3933  1 Ga 1.94
Pd: 0.5956 0.5956 0.2131  6 F 2.39-2.48
Ga: 0.5000 0.5000 0.5000  6 F 1.94
Cs: 0.2838 0.2838 0.1486  12 F 3.23-3.41
F: 0.1790 0.6071 0.6067  1 Ga 1.94
Cs: 0.7162 0.7162 0.8514  12 F 3.23-3.41
F: 0.6071 0.1790 0.6067  1 Ga 1.94

Calculated values
Its space group is R-3m, No. 166. As for the uncorrected formation energy: -2.286 eV per atom.



# 2
Crystalline YTlSb2Te at its relaxed geometry. Source: Alexandria via LeMat-Bulk, functional PBE.

abc: 5.5779 5.5779 5.7241
angles: 90.00 90.00 90.00
Last column: nearest neighbours and their distance in Å.
Atoms (fractional coordinates):
Y: 0.5000 0.5000 0.5000  4 Te 3.94, 8 Sb 4.00
Te: 0.0000 0.0000 0.5000  2 Tl 2.86
Sb: 0.5000 0.0000 0.0000  2 Tl 2.79
Sb: 0.0000 0.5000 0.0000  2 Tl 2.79
Tl: 0.0000 0.0000 0.0000  4 Sb 2.79, 2 Te 2.86

Calculated values
Its space group is P4/mmm, No. 123. As for the uncorrected formation energy: 0.461 eV per atom. Its distance to the lowest polymorph of the same formula is 497 meV per atom.



# 3
Crystalline Ca2Mg2Te at its relaxed geometry. Source: Alexandria via LeMat-Bulk, functional PBE.

abc: 4.0799 4.0799 9.8012
angles: 77.99 77.99 90.00
Last column: nearest neighbours and their distance in Å.
Atoms (fractional coordinates):
Ca: 0.5960 0.5960 0.8080  4 Te 3.40, 4 Mg 3.53, 1 Ca 3.60
Mg: 0.2500 0.7500 0.5000  4 Mg 2.88
Mg: 0.7500 0.2500 0.5000  4 Mg 2.88
Te: 0.0000 0.0000 0.0000  8 Ca 3.40
Ca: 0.4040 0.4040 0.1920  4 Te 3.40, 4 Mg 3.53, 1 Ca 3.60

Calculated values
Its space group is I4/mmm, No. 139. As for the uncorrected formation energy: -0.460 eV per atom. Its distance to the lowest polymorph of the same formula is 0 meV per atom.



Please write out number 1 again, unchanged.
Crystalline Cs2GaPdF6 at its relaxed geometry. Source: Alexandria via LeMat-Bulk, functional PBE.

abc: 6.3791 6.3791 11.2356
angles: 73.51 73.51 60.00
Last column: nearest neighbours and their distance in Å.
Atoms (fractional coordinates):
F: 0.2525 0.8212 0.1051  1 Ga 1.94
F: 0.7475 0.1788 0.8949  1 Ga 1.94
Cs: 0.1265 0.1265 0.6205  12 F 3.20-3.32
F: 0.1788 0.7475 0.8949  1 Ga 1.94
F: 0.8210 0.3929 0.3933  1 Ga 1.94
F: 0.6071 0.6071 0.6067  1 Ga 1.94
F: 0.3929 0.8210 0.3933  1 Ga 1.94
F: 0.1788 0.1788 0.8949  1 Ga 1.94
F: 0.8212 0.8212 0.1051  1 Ga 1.94
Pd: 0.4044 0.4044 0.7869  6 F 2.39-2.48
F: 0.8212 0.2525 0.1051  1 Ga 1.94
Cs: 0.8735 0.8735 0.3795  12 F 3.20-3.32
Ga: 0.0000 0.0000 0.0000  6 F 1.94
F: 0.3929 0.3929 0.3933  1 Ga 1.94
Pd: 0.5956 0.5956 0.2131  6 F 2.39-2.48
Ga: 0.5000 0.5000 0.5000  6 F 1.94
Cs: 0.2838 0.2838 0.1486  12 F 3.23-3.41
F: 0.1790 0.6071 0.6067  1 Ga 1.94
Cs: 0.7162 0.7162 0.8514  12 F 3.23-3.41
F: 0.6071 0.1790 0.6067  1 Ga 1.94

Calculated values
Its space group is R-3m, No. 166. As for the uncorrected formation energy: -2.286 eV per atom.